Record 1
The following is a DFT calculation (GGA-PBE) of a relaxed structure of KZr8.

Cell lengths 7.4847, 7.4847, 7.4847 Å; angles 94.97, 94.97, 145.76 degrees
Sites, in units of the cell vectors:
Zr 0.0000 0.3426 0.3426
Zr 0.3426 0.0000 0.3426
Zr 0.3182 0.6818 0.0000
Zr 0.6818 0.3182 0.0000
Zr 0.3182 0.3182 0.6365
Zr 0.6574 0.0000 0.6574
Zr 0.6818 0.6818 0.3635
Zr 0.0000 0.6574 0.6574
K 0.0000 0.0000 0.0000

- Calculated total energy: -7.37 eV per atom
- Space-group type: I4/mmm (139)

***

Record 2
The following is a DFT calculation (GGA-PBE) of a relaxed structure of BeIN2.

Cell lengths 5.1192, 2.9473, 3.8758 Å; angles 90.10, 95.61, 90.00 degrees
Sites, in units of the cell vectors:
N 0.6156 0.3388 0.4374
N 0.0709 0.8387 0.3578
I 0.2943 0.3397 0.6744
Be 0.7554 0.8388 0.4114

- Space-group type: P1 (1)
- Raw formation energy: 768 meV/atom
- Offset from the most stable computed form: 0.821 eV/atom

***

Record 3
The following is a DFT calculation (GGA-PBE) of a relaxed structure of PrYSc2.

Cell lengths 3.4970, 3.4970, 11.1865 Å; angles 81.01, 81.01, 60.00 degrees
Sites, in units of the cell vectors:
Sc 0.0846 0.0846 0.7461
Sc 0.2488 0.2488 0.2535
Pr 0.6663 0.6663 0.0010
Y 0.5002 0.5002 0.4994

- Space-group type: R3m (160)
- Offset from the most stable computed form: 0.008 eV/atom

***

Record 4
The following is a DFT calculation (GGA-PBE) of a relaxed structure of K2U2CuSe6.

Cell lengths 7.3710, 7.3710, 8.1467 Å; angles 97.18, 97.18, 124.87 degrees
Last column: magnetic moment on the atom in μB.
Sites, in units of the cell vectors:
Cu 0.0000 0.0000 0.5000  -0.06
Se 0.7577 0.7577 0.6715  -0.06
Se 0.0540 0.4265 0.7036  -0.08
Se 0.9460 0.5735 0.2964  -0.08
Se 0.2423 0.2423 0.3285  -0.06
Se 0.5735 0.9460 0.2964  -0.08
Se 0.4265 0.0540 0.7036  -0.08
K 0.1524 0.8476 0.0000  0.00
K 0.8476 0.1524 0.0000  0.00
U 0.3378 0.6622 0.5000  1.75
U 0.6622 0.3378 0.5000  1.75

- Space-group type: C2/m (12)
- Raw formation energy: -1024 meV/atom

***

Copy entry 2 word for word.
The following is a DFT calculation (GGA-PBE) of a relaxed structure of BeIN2.

Cell lengths 5.1192, 2.9473, 3.8758 Å; angles 90.10, 95.61, 90.00 degrees
Sites, in units of the cell vectors:
N 0.6156 0.3388 0.4374
N 0.0709 0.8387 0.3578
I 0.2943 0.3397 0.6744
Be 0.7554 0.8388 0.4114

- Space-group type: P1 (1)
- Raw formation energy: 768 meV/atom
- Offset from the most stable computed form: 0.821 eV/atom